Compound: InReOs2
Source: Alexandria via LeMat-Bulk
Functional: GGA-PBEsol
Structure: relaxed Values from VASP.

```
&SYSTEM
  ibrav = 0, nat = 4, ntyp = 3
/
ATOMIC_SPECIES
In 114.82 In.upf
Re 186.21 Re.upf
Os 190.23 Os.upf
CELL_PARAMETERS angstrom
1.4015 0.8092 9.0577
-1.4015 0.8092 9.0577
0.0000 -1.6183 9.0577
ATOMIC_POSITIONS crystal
In 0.0000 0.0000 0.0000
Re 0.7563 0.7563 0.7563
Os 0.2460 0.2460 0.2460
Os 0.5007 0.5007 0.5007
```

Output
- total moment (μB/f.u.) = 0.00
- crystal system = trigonal
- density (g/cm3) = 18.36
- SG = No. 160
- formation energy from the elements (eV per atom) = 0.366